No. 1
Dy8Pd2Au: relaxed, PBE.

Cell: 9.2169 9.2169 6.7767 Å, 104.53 104.53 32.04°
Last column: nearest neighbours and their distance in Å.
Fractional coordinates of all 11 atoms:
Dy 0.0322 0.0322 0.2774  1 Pd 2.78, 2 Au 3.09
Dy 0.2036 0.2036 0.8344  1 Pd 2.82
Dy 0.3296 0.3296 0.5146  3 Pd 2.78-3.10, 1 Au 3.05
Dy 0.4082 0.4082 0.0380  1 Au 3.13, 2 Pd 3.31, 6 Dy 3.42-3.47
Dy 0.5918 0.5918 0.9620  1 Au 3.13, 2 Pd 3.31, 6 Dy 3.42-3.47
Dy 0.6704 0.6704 0.4854  3 Pd 2.78-3.10, 1 Au 3.05
Dy 0.7964 0.7964 0.1656  1 Pd 2.82
Dy 0.9678 0.9678 0.7226  1 Pd 2.78, 2 Au 3.09
Pd 0.1838 0.1838 0.2343  5 Dy 2.78-3.10
Pd 0.8162 0.8162 0.7657  5 Dy 2.78-3.10
Au 0.5000 0.5000 0.5000  8 Dy 3.05-3.13

Results
Crystal system ... monoclinic
ΔE_f ... -45.18 kJ/mol of atoms

No. 2
DyPd2Au8: relaxed, PBE.

Cell: 7.8425 7.8425 6.5908 Å, 104.12 104.12 30.72°
Last column: nearest neighbours and their distance in Å.
Fractional coordinates of all 11 atoms:
Dy 0.0000 0.0000 0.0000  12 Au 2.99-3.01
Pd 0.2742 0.2742 0.3671  10 Au 2.87-2.96, 2 Pd 2.93
Pd 0.7258 0.7258 0.6329  10 Au 2.87-2.96, 2 Pd 2.93
Au 0.0964 0.0964 0.4563  3 Pd 2.89, 8 Au 2.89-3.11, 1 Dy 2.99
Au 0.1844 0.1844 0.9127  8 Au 2.90-2.97, 3 Pd 2.95-2.96, 1 Dy 2.99
Au 0.3597 0.3597 0.8079  3 Pd 2.87-2.93, 7 Au 2.89-3.07, 2 Dy 3.01
Au 0.4503 0.4503 0.2779  1 Pd 2.87, 9 Au 2.92-3.07, 2 Dy 2.99
Au 0.5497 0.5497 0.7221  1 Pd 2.87, 9 Au 2.92-3.07, 2 Dy 2.99
Au 0.6403 0.6403 0.1921  3 Pd 2.87-2.93, 7 Au 2.89-3.07, 2 Dy 3.01
Au 0.8156 0.8156 0.0873  8 Au 2.90-2.97, 3 Pd 2.95-2.96, 1 Dy 2.99
Au 0.9036 0.9036 0.5437  3 Pd 2.89, 8 Au 2.89-3.11, 1 Dy 2.99

Results
Crystal system ... monoclinic
ΔE_f ... -28.75 kJ/mol of atoms

No. 3
DyPd2Au8: relaxed, PBE.

Cell: 7.1886 7.1886 4.2700 Å, 90.00 90.00 106.72°
Last column: nearest neighbours and their distance in Å.
Fractional coordinates of all 11 atoms:
Dy 0.0000 0.0000 0.0000  12 Au 2.85-3.04
Pd 0.3835 0.6165 0.5000  8 Au 2.65-2.89, 1 Pd 2.69
Pd 0.6165 0.3835 0.5000  8 Au 2.65-2.89, 1 Pd 2.69
Au 0.0387 0.3092 0.5000  1 Pd 2.81, 7 Au 2.91-3.12, 2 Dy 3.04
Au 0.2471 0.7529 0.0000  2 Pd 2.65, 1 Dy 2.85, 4 Au 2.91
Au 0.3092 0.0387 0.5000  1 Pd 2.81, 7 Au 2.91-3.12, 2 Dy 3.04
Au 0.3345 0.3345 0.0000  5 Au 2.84-2.98, 1 Dy 2.87, 4 Pd 2.89
Au 0.6655 0.6655 0.0000  5 Au 2.84-2.98, 1 Dy 2.87, 4 Pd 2.89
Au 0.6908 0.9613 0.5000  1 Pd 2.81, 7 Au 2.91-3.12, 2 Dy 3.04
Au 0.7529 0.2471 0.0000  2 Pd 2.65, 1 Dy 2.85, 4 Au 2.91
Au 0.9613 0.6908 0.5000  1 Pd 2.81, 7 Au 2.91-3.12, 2 Dy 3.04

Results
Crystal system ... orthorhombic
ΔE_f ... -23.33 kJ/mol of atoms

No. 4
DyPd12Au7: relaxed, PBE.

Cell: 7.4827 7.4827 7.4827 Å, 107.25 107.25 107.25°
Last column: nearest neighbours and their distance in Å.
Fractional coordinates of all 20 atoms:
Dy 0.0000 0.0000 0.0000  6 Pd 2.76
Pd 0.1384 0.8393 0.2724  5 Pd 2.74-3.01, 1 Dy 2.76, 5 Au 2.77-2.94
Pd 0.1607 0.7276 0.8616  5 Pd 2.74-3.01, 1 Dy 2.76, 5 Au 2.77-2.94
Pd 0.1736 0.5948 0.4782  5 Au 2.71-2.89, 6 Pd 2.73-2.97
Pd 0.2724 0.1384 0.8393  5 Pd 2.74-3.01, 1 Dy 2.76, 5 Au 2.77-2.94
Pd 0.4052 0.5218 0.8264  5 Au 2.71-2.89, 6 Pd 2.73-2.97
Pd 0.4782 0.1736 0.5948  5 Au 2.71-2.89, 6 Pd 2.73-2.97
Pd 0.5218 0.8264 0.4052  5 Au 2.71-2.89, 6 Pd 2.73-2.97
Pd 0.5948 0.4782 0.1736  5 Au 2.71-2.90, 6 Pd 2.73-2.97
Pd 0.7276 0.8616 0.1607  5 Pd 2.74-3.01, 1 Dy 2.76, 5 Au 2.77-2.94
Pd 0.8264 0.4052 0.5218  5 Au 2.71-2.89, 6 Pd 2.73-2.97
Pd 0.8393 0.2724 0.1384  5 Pd 2.74-3.01, 1 Dy 2.76, 5 Au 2.77-2.94
Pd 0.8616 0.1607 0.7276  5 Pd 2.74-3.01, 1 Dy 2.76, 5 Au 2.77-2.94
Au 0.0830 0.1957 0.4720  9 Pd 2.77-2.94, 1 Au 3.03
Au 0.1957 0.4720 0.0830  9 Pd 2.77-2.94, 1 Au 3.03
Au 0.4720 0.0830 0.1957  9 Pd 2.77-2.94, 1 Au 3.03
Au 0.5000 0.5000 0.5000  6 Pd 2.71
Au 0.5280 0.9170 0.8043  9 Pd 2.77-2.94, 1 Au 3.03
Au 0.8043 0.5280 0.9170  9 Pd 2.77-2.94, 1 Au 3.03
Au 0.9170 0.8043 0.5280  9 Pd 2.77-2.94, 1 Au 3.03

Results
Crystal system ... trigonal
ΔE_f ... -14.87 kJ/mol of atoms

No. 5
DyPd5Au4: relaxed, PBE.

Cell: 8.1573 9.6133 4.7645 Å, 90.00 90.00 90.00°
Last column: nearest neighbours and their distance in Å.
Fractional coordinates of all 20 atoms:
Dy 0.2500 0.2500 0.0496  6 Au 3.07-3.10, 4 Pd 3.13
Dy 0.7500 0.7500 0.9504  6 Au 3.07-3.10, 4 Pd 3.13
Pd 0.0826 0.5051 0.7567  4 Pd 2.68-2.79, 5 Au 2.71-2.87
Pd 0.0826 0.9949 0.7567  4 Pd 2.68-2.79, 5 Au 2.71-2.87
Pd 0.2500 0.7500 0.8342  4 Pd 2.75, 4 Au 2.78-2.80
Pd 0.4174 0.5051 0.7567  4 Pd 2.68-2.79, 5 Au 2.71-2.87
Pd 0.4174 0.9949 0.7567  4 Pd 2.68-2.79, 5 Au 2.71-2.87
Pd 0.5826 0.0051 0.2433  4 Pd 2.68-2.79, 5 Au 2.71-2.87
Pd 0.5826 0.4949 0.2433  4 Pd 2.68-2.79, 5 Au 2.71-2.87
Pd 0.7500 0.2500 0.1658  4 Pd 2.75, 4 Au 2.78-2.80
Pd 0.9174 0.0051 0.2433  4 Pd 2.68-2.79, 5 Au 2.71-2.87
Pd 0.9174 0.4949 0.2433  4 Pd 2.68-2.79, 5 Au 2.71-2.87
Au 0.0090 0.2500 0.5513  5 Pd 2.71-2.87, 2 Au 2.98
Au 0.2500 0.5519 0.2599  7 Pd 2.77-2.80, 2 Au 2.98, 1 Dy 3.07
Au 0.2500 0.9481 0.2599  7 Pd 2.77-2.80, 2 Au 2.98, 1 Dy 3.07
Au 0.4910 0.2500 0.5513  5 Pd 2.71-2.87, 2 Au 2.98
Au 0.5090 0.7500 0.4487  5 Pd 2.71-2.87, 2 Au 2.98
Au 0.7500 0.0519 0.7401  7 Pd 2.77-2.80, 2 Au 2.98, 1 Dy 3.07
Au 0.7500 0.4481 0.7401  7 Pd 2.77-2.80, 2 Au 2.98, 1 Dy 3.07
Au 0.9910 0.7500 0.4487  5 Pd 2.71-2.87, 2 Au 2.98

Results
Crystal system ... orthorhombic
ΔE_f ... -27.81 kJ/mol of atoms

No. 6
DyPd4Au: relaxed, PBE.

Cell: 5.3280 5.3280 5.3280 Å, 60.00 60.00 60.00°
Last column: nearest neighbours and their distance in Å.
Fractional coordinates of all 6 atoms:
Dy 0.0000 0.0000 0.0000  12 Pd 3.12, 4 Au 3.26
Pd 0.1257 0.6248 0.6248  6 Pd 2.66-2.67
Pd 0.6248 0.1257 0.6248  6 Pd 2.66-2.67
Pd 0.6248 0.6248 0.1257  6 Pd 2.66-2.67
Pd 0.6248 0.6248 0.6248  6 Pd 2.66-2.67
Au 0.2500 0.2500 0.2500  12 Pd 3.12, 4 Dy 3.26

Results
Crystal system ... cubic
ΔE_f ... -55.63 kJ/mol of atoms

No. 7
Dy5Pd2Au: relaxed, PBE.

Cell: 8.5695 8.5695 8.5695 Å, 126.00 126.00 79.89°
Last column: nearest neighbours and their distance in Å.
Fractional coordinates of all 16 atoms:
Dy 0.0000 0.0000 0.0000  4 Pd 3.04, 2 Au 3.28
Dy 0.0181 0.5181 0.8230  3 Pd 2.95-2.97, 2 Au 3.24
Dy 0.1951 0.0181 0.5000  3 Pd 2.95-2.97, 2 Au 3.24
Dy 0.3049 0.8049 0.8230  3 Pd 2.95-2.97, 2 Au 3.24
Dy 0.4819 0.3049 0.5000  3 Pd 2.95-2.97, 2 Au 3.24
Dy 0.5000 0.5000 0.0000  4 Pd 3.04, 2 Au 3.28
Dy 0.5181 0.6951 0.5000  3 Pd 2.95-2.97, 2 Au 3.24
Dy 0.6951 0.1951 0.1770  3 Pd 2.95-2.97, 2 Au 3.24
Dy 0.8049 0.9819 0.5000  3 Pd 2.95-2.97, 2 Au 3.24
Dy 0.9819 0.4819 0.1770  3 Pd 2.95-2.97, 2 Au 3.24
Pd 0.1326 0.3674 0.5000  1 Pd 2.92, 8 Dy 2.95-3.04
Pd 0.3674 0.8674 0.2347  1 Pd 2.92, 8 Dy 2.95-3.04
Pd 0.6326 0.1326 0.7653  1 Pd 2.92, 8 Dy 2.95-3.04
Pd 0.8674 0.6326 0.5000  1 Pd 2.92, 8 Dy 2.95-3.04
Au 0.2500 0.2500 0.0000  10 Dy 3.24-3.28
Au 0.7500 0.7500 0.0000  10 Dy 3.24-3.28

Results
Crystal system ... tetragonal
ΔE_f ... -65.14 kJ/mol of atoms

No. 8
DyPd3Au3: relaxed, PBE.

Cell: 7.7635 7.7635 4.8210 Å, 90.00 90.00 120.00°
Last column: nearest neighbours and their distance in Å.
Fractional coordinates of all 14 atoms:
Dy 0.3333 0.6667 0.2500  9 Au 2.92-2.99, 3 Pd 2.96
Dy 0.6667 0.3333 0.7500  9 Au 2.92-2.99, 3 Pd 2.96
Pd 0.0408 0.2352 0.2500  5 Au 2.79-3.02, 6 Pd 2.93-2.94, 1 Dy 2.96
Pd 0.1945 0.9592 0.2500  5 Au 2.79-3.02, 6 Pd 2.93-2.94, 1 Dy 2.96
Pd 0.2352 0.1945 0.7500  5 Au 2.79-3.02, 6 Pd 2.93-2.94, 1 Dy 2.96
Pd 0.7648 0.8055 0.2500  5 Au 2.79-3.02, 6 Pd 2.93-2.94, 1 Dy 2.96
Pd 0.8055 0.0408 0.7500  5 Au 2.79-3.02, 6 Pd 2.93-2.94, 1 Dy 2.96
Pd 0.9592 0.7648 0.7500  5 Au 2.79-3.02, 6 Pd 2.93-2.94, 1 Dy 2.96
Au 0.0899 0.4580 0.7500  5 Pd 2.79-3.02, 3 Dy 2.92-2.99, 4 Au 3.02-3.07
Au 0.3681 0.9101 0.7500  5 Pd 2.79-3.02, 3 Dy 2.92-2.99, 4 Au 3.02-3.07
Au 0.4580 0.3681 0.2500  5 Pd 2.79-3.02, 3 Dy 2.92-2.99, 4 Au 3.02-3.07
Au 0.5420 0.6319 0.7500  5 Pd 2.79-3.02, 3 Dy 2.92-2.99, 4 Au 3.02-3.07
Au 0.6319 0.0899 0.2500  5 Pd 2.79-3.02, 3 Dy 2.92-2.99, 4 Au 3.02-3.07
Au 0.9101 0.5420 0.2500  5 Pd 2.79-3.02, 3 Dy 2.92-2.99, 4 Au 3.02-3.07

Results
Crystal system ... hexagonal
ΔE_f ... -46.74 kJ/mol of atoms